Entry from the Alexandria database: an optimized crystal structure of LiBe3In (PBE).

Geometry as CIF:
```
data_LiBe3In
_chemical_formula_sum 'Li1 Be3 In1'
_space_group_name_H-M_alt 'P m -3 m'
_space_group_IT_number 221
_space_group_name_Hall '-P 4 2 3'
_cell_length_a 4.554
_cell_length_b 4.554
_cell_length_c 4.554
_cell_angle_alpha 90.00
_cell_angle_beta 90.00
_cell_angle_gamma 90.00
loop_
_atom_site_label
_atom_site_fract_x
_atom_site_fract_y
_atom_site_fract_z
_atom_site_occupancy
Li1 0.000 0.000 0.000 1
Be1 0.000 0.500 0.500 1
In1 0.500 0.500 0.500 1
```

Results
M_tot = 0.0000 μB per atom
ΔE to the lowest computed polymorph = 2.67 kcal/mol of atoms
Formation energy from the elements = 5.10 eV/f.u.

Entry from the Alexandria database: an optimized crystal structure of TaZnSb2Te (PBE).

Geometry as CIF:
```
data_TaZnSb2Te
_chemical_formula_sum 'Ta1 Zn1 Sb2 Te1'
_space_group_name_H-M_alt 'P 4/m m m'
_space_group_IT_number 123
_space_group_name_Hall '-P 4 2'
_cell_length_a 5.044
_cell_length_b 5.044
_cell_length_c 5.188
_cell_angle_alpha 90.00
_cell_angle_beta 90.00
_cell_angle_gamma 90.00
loop_
_atom_site_label
_atom_site_fract_x
_atom_site_fract_y
_atom_site_fract_z
_atom_site_occupancy
Ta1 0.000 0.000 0.000 1
Zn1 0.500 0.500 0.500 1
Sb1 0.000 0.500 0.500 1
Te1 0.500 0.500 0.000 1
```

Results
M_tot = 0.0001 μB per atom
ΔE to the lowest computed polymorph = 17.28 kcal/mol of atoms
Formation energy from raw total energies = 1179 meV per atom

| no. | total DFT energy (no corrections) (hartree per atom) |
| --- | --- |
| 1 | -0.0789 |
| 2 | -0.1368 |